Model 1:
Pm4Pr5Nd3 | PBE | relaxed

## Properties
- Space group: C2/m
- Calculated density: 6.6 g/cm3
- Total moment: 0.00 μB per cell

Unit cell a=8.807 b=8.807 c=9.503 alpha=114.19 beta=114.19 gamma=40.71
Positions (direct):
Pm 0.083 0.083 0.442
Pm 0.213 0.213 0.878
Pm 0.787 0.787 0.122
Pm 0.917 0.917 0.558
Pr 0.000 0.000 0.000
Pr 0.327 0.327 0.613
Pr 0.425 0.425 0.301
Pr 0.575 0.575 0.699
Pr 0.673 0.673 0.387
Nd 0.209 0.209 0.226
Nd 0.500 0.500 0.000
Nd 0.791 0.791 0.774

Model 2:
Pm4Pr5Nd3 | PBE | relaxed

## Properties
- Space group: P-1
- Calculated density: 6.7 g/cm3
- Total moment: 0.00 μB per cell

Unit cell a=6.387 b=7.360 c=9.039 alpha=90.04 beta=90.10 gamma=90.02
Positions (direct):
Pm 0.167 0.000 0.165
Pm 0.333 0.249 0.834
Pm 0.667 0.751 0.166
Pm 0.833 0.000 0.835
Pr 0.000 0.249 0.500
Pr 0.000 0.751 0.500
Pr 0.167 0.500 0.166
Pr 0.500 0.000 0.500
Pr 0.833 0.500 0.834
Nd 0.333 0.751 0.834
Nd 0.500 0.500 0.500
Nd 0.667 0.249 0.166

Short version: model 2 is the most stable of them.

Model 1:
Pm2Pr3Nd6 | PBE | relaxed

## Properties
- Space group: I4/mmm
- Calculated density: 6.4 g/cm3
- Total moment: 0.00 μB per cell

Unit cell a=17.361 b=17.361 c=17.361 alpha=163.79 beta=163.79 gamma=23.00
Positions (direct):
Pm 0.045 0.045 0.000
Pm 0.955 0.955 0.000
Pr 0.298 0.298 0.000
Pr 0.500 0.500 0.000
Pr 0.702 0.702 0.000
Nd 0.119 0.619 0.500
Nd 0.196 0.196 0.000
Nd 0.381 0.881 0.500
Nd 0.619 0.119 0.500
Nd 0.804 0.804 0.000
Nd 0.881 0.381 0.500

Model 2:
Pm2Pr3Nd6 | PBE | relaxed

## Properties
- Space group: R-3m
- Calculated density: 6.7 g/cm3
- Total moment: 0.00 μB per cell

Unit cell a=33.184 b=33.184 c=33.184 alpha=6.36 beta=6.36 gamma=6.36
Positions (direct):
Pm 0.045 0.045 0.045
Pm 0.955 0.955 0.955
Pr 0.228 0.228 0.228
Pr 0.500 0.500 0.500
Pr 0.772 0.772 0.772
Nd 0.136 0.136 0.136
Nd 0.318 0.318 0.318
Nd 0.409 0.409 0.409
Nd 0.591 0.591 0.591
Nd 0.682 0.682 0.682
Nd 0.864 0.864 0.864

Short version: model 2 is the most stable of them.

Model 1:
PmPrNd3 | PBE | relaxed

## Properties
- Space group: Pmmn
- Calculated density: 6.7 g/cm3
- Total moment: 0.00 μB per cell

Unit cell a=5.545 b=7.513 c=8.578 alpha=90.00 beta=90.00 gamma=90.00
Positions (direct):
Pm 0.250 0.250 0.059
Pm 0.750 0.750 0.941
Pr 0.250 0.750 0.241
Pr 0.750 0.250 0.759
Nd 0.250 0.250 0.446
Nd 0.250 0.541 0.753
Nd 0.250 0.959 0.753
Nd 0.750 0.041 0.247
Nd 0.750 0.459 0.247
Nd 0.750 0.750 0.554

Model 2:
PmPrNd3 | PBE | relaxed

## Properties
- Space group: C2/m
- Calculated density: 6.7 g/cm3
- Total moment: 0.00 μB per cell

Unit cell a=11.794 b=11.794 c=8.948 alpha=109.75 beta=109.75 gamma=17.76
Positions (direct):
Pm 0.131 0.131 0.232
Pm 0.869 0.869 0.768
Pr 0.421 0.421 0.477
Pr 0.579 0.579 0.523
Nd 0.030 0.030 0.822
Nd 0.226 0.226 0.647
Nd 0.323 0.323 0.063
Nd 0.677 0.677 0.937
Nd 0.774 0.774 0.353
Nd 0.970 0.970 0.178

Short version: model 2 is the most stable of them.

Model 1:
Pm3Pr2Nd3 | PBE | relaxed

## Properties
- Space group: Pmmn
- Calculated density: 6.7 g/cm3
- Total moment: 0.00 μB per cell

Unit cell a=5.967 b=14.827 c=6.418 alpha=90.00 beta=90.00 gamma=90.00
Positions (direct):
Pm 0.250 0.126 0.165
Pm 0.250 0.374 0.165
Pm 0.250 0.750 0.668
Pm 0.750 0.250 0.332
Pm 0.750 0.626 0.835
Pm 0.750 0.874 0.835
Pr 0.250 0.625 0.166
Pr 0.250 0.875 0.166
Pr 0.750 0.125 0.834
Pr 0.750 0.375 0.834
Nd 0.250 0.000 0.666
Nd 0.250 0.250 0.663
Nd 0.250 0.500 0.666
Nd 0.750 0.000 0.334
Nd 0.750 0.500 0.334
Nd 0.750 0.750 0.337

Model 2:
Pm3Pr2Nd3 | PBE | relaxed

## Properties
- Space group: C2/m
- Calculated density: 6.8 g/cm3
- Total moment: 0.00 μB per cell

Unit cell a=8.812 b=8.812 c=6.148 alpha=110.39 beta=110.39 gamma=39.62
Positions (direct):
Pm 0.000 0.000 0.000
Pm 0.131 0.131 0.579
Pm 0.869 0.869 0.421
Pr 0.250 0.250 0.184
Pr 0.750 0.750 0.816
Nd 0.368 0.368 0.815
Nd 0.500 0.500 0.500
Nd 0.632 0.632 0.185

Short version: model 1 is the most stable of them.

Model 1:
Pm12PrNd7 | PBE | relaxed

## Properties
- Space group: Im-3
- Calculated density: 6.1 g/cm3
- Total moment: 0.00 μB per cell

Unit cell a=10.056 b=10.056 c=10.056 alpha=109.47 beta=109.47 gamma=109.47
Positions (direct):
Pm 0.001 0.251 0.750
Pm 0.250 0.502 0.251
Pm 0.250 0.999 0.749
Pm 0.251 0.250 0.502
Pm 0.251 0.750 0.001
Pm 0.498 0.749 0.750
Pm 0.502 0.251 0.250
Pm 0.749 0.250 0.999
Pm 0.749 0.750 0.498
Pm 0.750 0.001 0.251
Pm 0.750 0.498 0.749
Pm 0.999 0.749 0.250
Pr 0.000 0.000 0.000
Nd 0.000 0.000 0.500
Nd 0.000 0.500 0.000
Nd 0.000 0.500 0.500
Nd 0.500 0.000 0.000
Nd 0.500 0.000 0.500
Nd 0.500 0.500 0.000
Nd 0.500 0.500 0.500

Model 2:
Pm12PrNd7 | PBE | relaxed

## Properties
- Space group: R-3
- Calculated density: 6.8 g/cm3
- Total moment: 0.00 μB per cell

Unit cell a=8.926 b=8.926 c=8.926 alpha=87.27 beta=87.27 gamma=87.27
Positions (direct):
Pm 0.008 0.882 0.366
Pm 0.118 0.634 0.992
Pm 0.222 0.353 0.756
Pm 0.244 0.778 0.647
Pm 0.353 0.756 0.222
Pm 0.366 0.008 0.882
Pm 0.634 0.992 0.118
Pm 0.647 0.244 0.778
Pm 0.756 0.222 0.353
Pm 0.778 0.647 0.244
Pm 0.882 0.366 0.008
Pm 0.992 0.118 0.634
Pr 0.500 0.500 0.500
Nd 0.000 0.000 0.000
Nd 0.105 0.425 0.348
Nd 0.348 0.105 0.425
Nd 0.425 0.348 0.105
Nd 0.575 0.652 0.895
Nd 0.652 0.895 0.575
Nd 0.895 0.575 0.652

Short version: model 2 is the most stable of them.

Model 1:
Pm6Pr3Nd | PBE | relaxed

## Properties
- Space group: Cmc2_1
- Calculated density: 6.8 g/cm3
- Total moment: 0.00 μB per cell

Unit cell a=11.214 b=11.214 c=6.501 alpha=90.00 beta=90.00 gamma=120.70
Positions (direct):
Pm 0.034 0.966 0.500
Pm 0.056 0.473 0.016
Pm 0.279 0.721 0.289
Pm 0.288 0.372 0.196
Pm 0.372 0.288 0.696
Pm 0.473 0.056 0.516
Pm 0.527 0.944 0.016
Pm 0.628 0.712 0.196
Pm 0.712 0.628 0.696
Pm 0.721 0.279 0.789
Pm 0.944 0.527 0.516
Pm 0.966 0.034 0.000
Pr 0.059 0.293 0.604
Pr 0.293 0.059 0.104
Pr 0.384 0.616 0.726
Pr 0.616 0.384 0.226
Pr 0.707 0.941 0.604
Pr 0.941 0.707 0.104
Nd 0.190 0.810 0.750
Nd 0.810 0.190 0.250

Model 2:
Pm6Pr3Nd | PBE | relaxed

## Properties
- Space group: C2/m
- Calculated density: 6.6 g/cm3
- Total moment: 0.00 μB per cell

Unit cell a=6.812 b=6.812 c=8.941 alpha=100.65 beta=100.65 gamma=63.04
Positions (direct):
Pm 0.017 0.474 0.189
Pm 0.162 0.162 0.492
Pm 0.474 0.017 0.189
Pm 0.526 0.983 0.811
Pm 0.838 0.838 0.508
Pm 0.983 0.526 0.811
Pr 0.036 0.036 0.840
Pr 0.500 0.500 0.500
Pr 0.964 0.964 0.160
Nd 0.500 0.500 0.000

Short version: model 1 is the most stable of them.

Model 1:
Pm2Pr3Nd4 | PBE | relaxed

## Properties
- Space group: P3m1
- Calculated density: 6.6 g/cm3
- Total moment: 0.00 μB per cell

Unit cell a=3.679 b=3.679 c=27.538 alpha=90.00 beta=90.00 gamma=120.00
Positions (direct):
Pm 0.000 0.000 0.000
Pm 0.000 0.000 0.218
Pr 0.000 0.000 0.782
Pr 0.333 0.667 0.112
Pr 0.333 0.667 0.450
Nd 0.000 0.000 0.343
Nd 0.000 0.000 0.563
Nd 0.333 0.667 0.671
Nd 0.333 0.667 0.893

Model 2:
Pm2Pr3Nd4 | PBE | relaxed

## Properties
- Space group: C2/m
- Calculated density: 6.7 g/cm3
- Total moment: 0.00 μB per cell

Unit cell a=6.584 b=6.584 c=9.347 alpha=100.90 beta=100.90 gamma=53.60
Positions (direct):
Pm 0.064 0.064 0.302
Pm 0.936 0.936 0.698
Pr 0.385 0.385 0.316
Pr 0.500 0.500 0.000
Pr 0.615 0.615 0.684
Nd 0.179 0.179 0.959
Nd 0.271 0.271 0.631
Nd 0.729 0.729 0.369
Nd 0.821 0.821 0.041

Short version: model 1 is the most stable of them.

Model 1:
Pm2Pr3Nd2 | PBE | relaxed

## Properties
- Space group: P-1
- Calculated density: 6.7 g/cm3
- Total moment: 0.00 μB per cell

Unit cell a=6.389 b=6.391 c=6.395 alpha=99.59 beta=99.71 gamma=99.53
Positions (direct):
Pm 0.142 0.071 0.285
Pm 0.858 0.929 0.715
Pr 0.000 0.500 0.000
Pr 0.286 0.644 0.571
Pr 0.714 0.356 0.429
Nd 0.428 0.213 0.857
Nd 0.572 0.787 0.143

Model 2:
Pm2Pr3Nd2 | PBE | relaxed

## Properties
- Space group: C2/m
- Calculated density: 6.7 g/cm3
- Total moment: 0.00 μB per cell

Unit cell a=9.151 b=9.151 c=8.861 alpha=118.17 beta=118.17 gamma=22.60
Positions (direct):
Pm 0.064 0.064 0.407
Pm 0.936 0.936 0.593
Pr 0.286 0.286 0.698
Pr 0.500 0.500 0.000
Pr 0.714 0.714 0.302
Nd 0.354 0.354 0.170
Nd 0.646 0.646 0.830

Short version: model 1 is the most stable of them.

Model 1:
Pm5Pr4Nd3 | PBE | relaxed

## Properties
- Space group: P-1
- Calculated density: 6.8 g/cm3
- Total moment: 0.00 μB per cell

Unit cell a=6.377 b=7.351 c=9.025 alpha=90.04 beta=90.07 gamma=90.01
Positions (direct):
Pm 0.000 0.000 0.000
Pm 0.334 0.500 0.333
Pm 0.500 0.251 0.000
Pm 0.500 0.749 0.000
Pm 0.666 0.500 0.667
Pr 0.167 0.749 0.667
Pr 0.333 0.999 0.332
Pr 0.667 0.001 0.668
Pr 0.833 0.251 0.333
Nd 0.000 0.500 0.000
Nd 0.167 0.251 0.668
Nd 0.833 0.749 0.332

Model 2:
Pm5Pr4Nd3 | PBE | relaxed

## Properties
- Space group: C2/m
- Calculated density: 6.6 g/cm3
- Total moment: 0.00 μB per cell

Unit cell a=8.783 b=8.783 c=9.520 alpha=114.29 beta=114.29 gamma=40.71
Positions (direct):
Pm 0.000 0.000 0.000
Pm 0.328 0.328 0.610
Pm 0.427 0.427 0.302
Pm 0.573 0.573 0.698
Pm 0.672 0.672 0.390
Pr 0.083 0.083 0.442
Pr 0.212 0.212 0.878
Pr 0.788 0.788 0.122
Pr 0.917 0.917 0.558
Nd 0.208 0.208 0.227
Nd 0.500 0.500 0.000
Nd 0.792 0.792 0.773

Short version: model 1 is the most stable of them.

Model 1:
PmPrNdSm | PBE | relaxed

## Properties
- Space group: F-43m
- Calculated density: 6.9 g/cm3
- Total moment: 0.00 μB per cell

Unit cell a=5.826 b=5.826 c=5.826 alpha=60.00 beta=60.00 gamma=60.00
Positions (direct):
Pm 0.000 0.000 0.000
Pr 0.750 0.750 0.750
Nd 0.250 0.250 0.250
Sm 0.500 0.500 0.500

Model 2:
PmPrNdSm | PBE | relaxed

## Properties
- Space group: I-4m2
- Calculated density: 6.9 g/cm3
- Total moment: 0.00 μB per cell

Unit cell a=6.364 b=6.364 c=6.364 alpha=131.88 beta=131.88 gamma=70.42
Positions (direct):
Pm 0.000 0.000 0.000
Pr 0.500 0.500 0.000
Nd 0.250 0.750 0.500
Sm 0.750 0.250 0.500

Short version: model 2 is the most stable of them.

Model 1:
TbPmPrNd | PBE | relaxed

## Properties
- Space group: I-4m2
- Calculated density: 7.1 g/cm3
- Total moment: 0.00 μB per cell

Unit cell a=6.331 b=6.331 c=6.331 alpha=131.82 beta=131.82 gamma=70.51
Positions (direct):
Tb 0.000 0.000 0.000
Pm 0.250 0.750 0.500
Pr 0.500 0.500 0.000
Nd 0.750 0.250 0.500

Model 2:
TbPmPrNd | PBE | relaxed

## Properties
- Space group: F-43m
- Calculated density: 7.1 g/cm3
- Total moment: 0.00 μB per cell

Unit cell a=5.801 b=5.801 c=5.801 alpha=60.00 beta=60.00 gamma=60.00
Positions (direct):
Tb 0.000 0.000 0.000
Pm 0.500 0.500 0.500
Pr 0.750 0.750 0.750
Nd 0.250 0.250 0.250

Short version: model 1 is the most stable of them.